CsU4Rh3Se12: relaxed, PBE.

Unit cell a=8.8545 b=8.8545 c=8.8545 alpha=109.47 beta=109.47 gamma=109.47
Last column: magnetic moment on the atom in μB.
Sites, in units of the cell vectors:
Cs 0.0000 0.0000 0.0000  -0.01
U 0.5000 0.0000 0.0000  1.68
U 0.5000 0.5000 0.5000  1.68
U 0.0000 0.5000 0.0000  1.68
U 0.0000 0.0000 0.5000  1.68
Rh 0.0000 0.5000 0.5000  -0.47
Rh 0.5000 0.5000 0.0000  -0.47
Rh 0.5000 0.0000 0.5000  -0.47
Se 0.3234 0.8331 0.1566  -0.09
Se 0.6766 0.1669 0.8434  -0.09
Se 0.6766 0.8331 0.5097  -0.09
Se 0.8434 0.6766 0.1669  -0.09
Se 0.8331 0.1566 0.3234  -0.09
Se 0.1669 0.4903 0.3234  -0.09
Se 0.4903 0.3234 0.1669  -0.09
Se 0.1669 0.8434 0.6766  -0.09
Se 0.3234 0.1669 0.4903  -0.09
Se 0.1566 0.3234 0.8331  -0.09
Se 0.8331 0.5097 0.6766  -0.09
Se 0.5097 0.6766 0.8331  -0.09

Space group: No. 204
Formation energy (no corrections), meV per atom: -686.5
Calculated density, g/cm3: 7.3